No. 1
{
  "formula": "RbZrAu3Se4",
  "functional": "PBE-GGA",
  "state": "optimized geometry",
  "lattice_angstrom": [[-2.257, -6.028, -0.596], [4.301, -1.147, -4.687], [4.265, -2.033, 4.412]],
  "species": ["Au", "Au", "Au", "Rb", "Se", "Se", "Se", "Se", "Zr"],
  "fractional_positions": [[0.500, 0.500, 0.000], [0.500, 0.000, 0.500], [0.000, 0.500, 0.500], [0.000, 0.000, 0.000], [0.274, 0.274, 0.274], [0.726, 0.726, 0.274], [0.726, 0.274, 0.726], [0.274, 0.726, 0.726], [0.500, 0.500, 0.500]],
  "total_magnetization_mub_per_cell": 0.0,
  "e_above_lowest_polymorph_ev_per_atom": 0.007,
  "spacegroup": "P-43m (215)"
}

No. 2
{
  "formula": "NbTlCuOs",
  "functional": "PBE-GGA",
  "state": "optimized geometry",
  "lattice_angstrom": [[3.688, 1.580, 2.178], [-0.378, 1.614, 4.254], [1.766, -2.345, 3.497]],
  "species": ["Cu", "Nb", "Os", "Tl"],
  "fractional_positions": [[0.750, 0.750, 0.750], [0.250, 0.250, 0.250], [0.500, 0.500, 0.500], [0.000, 0.000, 0.000]],
  "total_magnetization_mub_per_cell": 0.1,
  "e_above_lowest_polymorph_ev_per_atom": 0.111,
  "spacegroup": "F-43m (216)"
}

No. 3
{
  "formula": "MgCuSi2As4",
  "functional": "PBE-GGA",
  "state": "optimized geometry",
  "lattice_angstrom": [[-2.907, 2.907, 5.349], [2.907, -2.907, 5.349], [2.907, 2.907, -5.349]],
  "species": ["As", "As", "As", "As", "Cu", "Mg", "Si", "Si"],
  "fractional_positions": [[0.151, 0.648, 0.032], [0.882, 0.849, 0.497], [0.352, 0.385, 0.503], [0.615, 0.118, 0.968], [0.000, 0.000, 0.000], [0.750, 0.250, 0.500], [0.500, 0.500, 0.000], [0.250, 0.750, 0.500]],
  "dft_energy_ev_per_atom": -4.467,
  "spacegroup": "I-4 (82)"
}

No. 4
{
  "formula": "ErSiH2O4",
  "functional": "PBE-GGA",
  "state": "optimized geometry",
  "lattice_angstrom": [[-0.232, 4.068, -4.713], [-6.433, -1.139, -0.667], [-0.723, 1.460, 4.481]],
  "species": ["Er", "Er", "H", "H", "H", "H", "O", "O", "O", "O", "O", "O", "O", "O", "Si", "Si"],
  "fractional_positions": [[0.151, 0.250, 0.150], [0.849, 0.750, 0.850], [0.497, 0.750, 0.147], [0.000, 0.000, 0.500], [0.000, 0.500, 0.500], [0.503, 0.250, 0.853], [0.463, 0.250, 0.048], [0.093, 0.551, 0.338], [0.093, 0.949, 0.338], [0.481, 0.750, 0.419], [0.519, 0.250, 0.581], [0.907, 0.051, 0.662], [0.907, 0.449, 0.662], [0.537, 0.750, 0.952], [0.712, 0.250, 0.436], [0.288, 0.750, 0.564]],
  "total_magnetization_mub_per_cell": 1.9,
  "e_above_lowest_polymorph_ev_per_atom": 0.010,
  "spacegroup": "P2_1/m (11)"
}

No. 5
{
  "formula": "HgPdNO",
  "functional": "PBE-GGA",
  "state": "optimized geometry",
  "lattice_angstrom": [[-1.613, -4.246, -4.247], [5.352, 1.521, -3.553], [2.717, -3.589, 2.556]],
  "species": ["Hg", "Hg", "Hg", "Hg", "N", "N", "N", "N", "O", "O", "O", "O", "Pd", "Pd", "Pd", "Pd"],
  "fractional_positions": [[0.132, 0.153, 0.013], [0.632, 0.847, 0.013], [0.368, 0.153, 0.513], [0.868, 0.847, 0.513], [0.645, 0.169, 0.217], [0.145, 0.831, 0.217], [0.855, 0.169, 0.717], [0.355, 0.831, 0.717], [0.359, 0.473, 0.076], [0.859, 0.527, 0.076], [0.141, 0.473, 0.576], [0.641, 0.527, 0.576], [0.879, 0.336, 0.397], [0.379, 0.664, 0.397], [0.621, 0.336, 0.897], [0.121, 0.664, 0.897]],
  "e_above_lowest_polymorph_ev_per_atom": 0.092,
  "spacegroup": "Pca2_1 (29)"
}

No. 6
{
  "formula": "TbHoTe3Pb",
  "functional": "PBE-GGA",
  "state": "optimized geometry",
  "lattice_angstrom": [[1.439, 3.804, 6.808], [-5.214, -1.943, -5.651], [-2.944, -9.748, 6.069]],
  "species": ["Ho", "Ho", "Pb", "Pb", "Tb", "Tb", "Te", "Te", "Te", "Te", "Te", "Te"],
  "fractional_positions": [[0.500, 0.500, 0.000], [0.500, 0.500, 0.500], [0.276, 0.724, 0.250], [0.724, 0.276, 0.750], [0.947, 0.053, 0.250], [0.053, 0.947, 0.750], [0.856, 0.144, 0.026], [0.582, 0.418, 0.250], [0.856, 0.144, 0.474], [0.144, 0.856, 0.526], [0.418, 0.582, 0.750], [0.144, 0.856, 0.974]],
  "total_magnetization_mub_per_cell": 0.1,
  "e_above_lowest_polymorph_ev_per_atom": 0.020,
  "spacegroup": "Cmcm (63)"
}

No. 7
{
  "formula": "ZnPt17",
  "functional": "PBE-GGA",
  "state": "optimized geometry",
  "lattice_angstrom": [[-5.078, -1.659, 1.438], [4.397, -1.752, 2.864], [-2.876, 26.884, 20.863]],
  "species": ["Pt", "Pt", "Pt", "Pt", "Pt", "Pt", "Pt", "Pt", "Pt", "Pt", "Pt", "Pt", "Pt", "Pt", "Pt", "Pt", "Pt", "Pt", "Pt", "Pt", "Pt", "Pt", "Pt", "Pt", "Pt", "Pt", "Pt", "Pt", "Pt", "Pt", "Pt", "Pt", "Pt", "Pt", "Zn", "Zn"],
  "fractional_positions": [[0.000, 0.000, 0.000], [0.500, 0.000, 0.000], [0.000, 0.500, 0.000], [0.500, 0.500, 0.000], [0.333, 0.167, 0.068], [0.833, 0.167, 0.068], [0.833, 0.667, 0.068], [0.333, 0.667, 0.068], [0.667, 0.333, 0.136], [0.167, 0.333, 0.137], [0.167, 0.833, 0.137], [0.667, 0.833, 0.137], [0.000, 0.000, 0.206], [0.000, 0.500, 0.206], [0.500, 0.500, 0.206], [0.500, 0.000, 0.206], [0.332, 0.166, 0.273], [0.834, 0.166, 0.273], [0.834, 0.668, 0.273], [0.166, 0.332, 0.727], [0.166, 0.834, 0.727], [0.668, 0.834, 0.727], [0.500, 0.000, 0.794], [0.500, 0.500, 0.794], [0.000, 0.500, 0.794], [0.000, 0.000, 0.794], [0.333, 0.167, 0.863], [0.833, 0.167, 0.863], [0.833, 0.667, 0.863], [0.333, 0.667, 0.864], [0.667, 0.333, 0.932], [0.167, 0.333, 0.932], [0.167, 0.833, 0.932], [0.667, 0.833, 0.932], [0.333, 0.667, 0.274], [0.667, 0.333, 0.726]],
  "total_magnetization_mub_per_cell": 0.0,
  "e_form_ev_per_atom": 0.06,
  "spacegroup": "P-3m1 (164)"
}

No. 8
{
  "formula": "HoEr2Cu4Si2Sn2",
  "functional": "PBE-GGA",
  "state": "optimized geometry",
  "lattice_angstrom": [[-2.104, 3.418, 7.053], [2.104, -3.418, 7.053], [2.104, 3.418, -7.053]],
  "species": ["Cu", "Cu", "Cu", "Cu", "Er", "Er", "Ho", "Si", "Si", "Sn", "Sn"],
  "fractional_positions": [[0.508, 0.318, 0.190], [0.872, 0.682, 0.190], [0.128, 0.318, 0.810], [0.492, 0.682, 0.810], [0.135, 0.135, 0.000], [0.865, 0.865, 0.000], [0.500, 0.000, 0.500], [0.716, 0.216, 0.500], [0.284, 0.784, 0.500], [0.797, 0.500, 0.297], [0.203, 0.500, 0.703]],
  "total_magnetization_mub_per_cell": 0.0,
  "e_above_lowest_polymorph_ev_per_atom": 0.069,
  "spacegroup": "Immm (71)"
}

Number 1: volume 270 Å³/cell. Number 2: volume 67 Å³/cell. Number 3: volume 181 Å³/cell. Number 4: volume 168 Å³/cell. Number 5: volume 212 Å³/cell. Number 6: volume 395 Å³/cell. Number 7: volume 905 Å³/cell. Number 8: volume 203 Å³/cell.